DFT (PBE-GGA) results for an optimized crystal structure of CsGa2As.

Computed properties:
* DFT total energy: -3.017 eV per atom
* size of the total moment: 0.00 Bohr magnetons per cell
* D(E_F): 0.140 states/eV/atom

The structure in POSCAR format:
```
CsGa2As
1.0
4.3543 0.0000 0.0000
2.1772 3.7710 0.0000
2.1772 1.2570 7.6469
Cs As Ga
1 1 2
Cartesian
0.0000 0.0000 0.0000
4.3543 2.5140 3.8234
2.1772 1.2570 2.6589
6.5315 3.7710 4.9879
```